DFT (PBE) results for crystalline NdErAl at its relaxed geometry.

Output
Energy above the lowest structure with this stoichiometry, eV/atom: 0.000
Calculated total energy, eV for the cell shown: -27.510
Energy of formation from the pure elements, eV per atom: -0.227

a = 5.3239 Å, b = 5.3239 Å, c = 6.6945 Å
α = 90.00°, β = 90.00°, γ = 120.00°
Space group P6_3/mmc (No. 194)
Unique sites:
Nd  0.0000  0.0000  0.0000 (multiplicity 2)
Er  0.3333  0.6667  0.2500 (multiplicity 2)
Al  0.3333  0.6667  0.7500 (multiplicity 2)